## A
Compound: Zr2Cl
Source: Alexandria via LeMat-Bulk
Functional: GGA-PBE
Structure: relaxed

DOS(E_F) = 0.757 states/eV/atom
Total magnetization = 0.00 Bohr magnetons per cell
SG = No. 8

```
Zr2Cl
1.0
6.8675 -1.5786 0.0000
6.8675 1.5786 0.0000
-2.0569 0.0000 5.8354
Zr Cl
4 2
Cartesian
0.0000 0.0000 0.0000 Zr
1.3806 0.0000 5.4986 Zr
6.8098 0.0000 3.2773 Zr
11.4491 0.0000 2.0958 Zr
3.5101 0.0000 4.0367 Cl
8.6106 0.0000 1.3978 Cl
```

## B
Compound: Zr2Cl
Source: Alexandria via LeMat-Bulk
Functional: GGA-PBE
Structure: relaxed

DOS(E_F) = 1.265 states/eV/atom
Total magnetization = 1.41 Bohr magnetons per cell
SG = No. 191

```
Zr2Cl
1.0
5.1316 0.0000 0.0000
-2.5658 4.4441 0.0000
0.0000 0.0000 3.0194
Zr Cl
2 1
Cartesian
0.0000 2.9627 0.0000 Zr
2.5658 1.4814 0.0000 Zr
0.0000 0.0000 1.5097 Cl
```

Which one is most stable, and which one is least stable? A is the most stable of them, while B is the least stable.

## A
Compound: ZrCl5
Source: Alexandria via LeMat-Bulk
Functional: GGA-PBE
Structure: relaxed

DOS(E_F) = 0.818 states/eV/atom
Total magnetization = 0.00 Bohr magnetons per cell
SG = No. 65

```
ZrCl5
1.0
2.0615 -7.1696 0.0000
2.0615 7.1696 0.0000
0.0000 0.0000 4.9481
Zr Cl
1 5
Cartesian
0.0000 0.0000 0.0000 Zr
2.0615 5.3507 2.4740 Cl
2.0615 1.6858 0.0000 Cl
2.0615 0.0000 2.4740 Cl
2.0615 -1.6858 0.0000 Cl
2.0615 -5.3507 2.4740 Cl
```

## B
Compound: ZrCl5
Source: Alexandria via LeMat-Bulk
Functional: GGA-PBE
Structure: relaxed

DOS(E_F) = 0.738 states/eV/atom
Total magnetization = 1.51 Bohr magnetons per cell
SG = No. 191

```
ZrCl5
1.0
5.0791 0.0000 0.0000
-2.5395 4.3986 0.0000
0.0000 0.0000 7.0272
Zr Cl
1 5
Cartesian
0.0000 0.0000 0.0000 Zr
-1.2698 2.1993 3.5136 Cl
0.0000 2.9324 0.0000 Cl
2.5395 0.0000 3.5136 Cl
1.2698 2.1993 3.5136 Cl
2.5395 1.4662 0.0000 Cl
```

## C
Compound: ZrCl5
Source: Alexandria via LeMat-Bulk
Functional: GGA-PBE
Structure: relaxed

DOS(E_F) = 0.516 states/eV/atom
Total magnetization = 1.01 Bohr magnetons per cell
SG = No. 8

```
ZrCl5
1.0
7.0245 -1.7260 0.0000
7.0245 1.7260 0.0000
-1.2410 0.0000 8.0174
Zr Cl
1 5
Cartesian
0.0000 0.0000 0.0000 Zr
2.9924 0.0000 4.4998 Cl
3.9034 0.0000 7.4309 Cl
6.7352 0.0000 6.2830 Cl
8.4576 0.0000 1.2925 Cl
12.8051 0.0000 2.0341 Cl
```

Which one is most stable, and which one is least stable? C is the most stable of them, while B is the least stable.

## A
Compound: Zr3Cl2
Source: Alexandria via LeMat-Bulk
Functional: GGA-PBE
Structure: relaxed

DOS(E_F) = 0.733 states/eV/atom
Total magnetization = 0.00 Bohr magnetons per cell
SG = No. 164

```
Zr3Cl2
1.0
4.7071 0.0000 0.0000
-2.3535 4.0764 0.0000
0.0000 0.0000 5.3140
Zr Cl
3 2
Cartesian
0.0000 0.0000 0.0000 Zr
0.0000 2.7176 1.9103 Zr
2.3535 1.3588 3.4037 Zr
0.0000 2.7176 4.5498 Cl
2.3535 1.3588 0.7641 Cl
```

## B
Compound: Zr3Cl2
Source: Alexandria via LeMat-Bulk
Functional: GGA-PBE
Structure: relaxed

DOS(E_F) = 0.785 states/eV/atom
Total magnetization = 1.46 Bohr magnetons per cell
SG = No. 166

```
Zr3Cl2
1.0
1.6395 0.9466 12.7272
-1.6395 0.9466 12.7272
0.0000 -1.8932 12.7272
Zr Cl
3 2
Cartesian
0.0000 0.0000 0.0000 Zr
0.0000 0.0000 7.5331 Zr
0.0000 0.0000 30.6485 Zr
0.0000 0.0000 14.5842 Cl
0.0000 0.0000 23.5974 Cl
```

Which one is most stable, and which one is least stable? B is the most stable of them, while A is the least stable.

## A
Compound: Cr3Co2
Source: Alexandria via LeMat-Bulk
Functional: GGA-PBE
Structure: relaxed

DOS(E_F) = 1.205 states/eV/atom
Total magnetization = 1.61 Bohr magnetons per cell
SG = No. 166

```
Cr3Co2
1.0
1.2452 0.7189 10.4563
-1.2452 0.7189 10.4563
0.0000 -1.4378 10.4563
Cr Co
3 2
Cartesian
0.0000 0.0000 0.0000 Cr
0.0000 0.0000 6.3349 Cr
0.0000 0.0000 25.0341 Cr
0.0000 0.0000 12.5197 Co
0.0000 0.0000 18.8492 Co
```

## B
Compound: Cr3Co2
Source: Alexandria via LeMat-Bulk
Functional: GGA-PBE
Structure: relaxed

DOS(E_F) = 1.435 states/eV/atom
Total magnetization = 7.20 Bohr magnetons per cell
SG = No. 35

```
Cr3Co2
1.0
6.0851 -6.1345 0.0000
6.0851 6.1345 0.0000
0.0000 0.0000 4.4781
Cr Co
18 12
Cartesian
4.0598 3.5986 0.0144 Cr
6.0851 4.8584 0.0000 Cr
3.6264 2.0589 2.2833 Cr
2.1992 0.0000 3.3862 Cr
2.2202 0.0000 1.1361 Cr
6.0851 2.1597 1.1889 Cr
8.1105 3.5986 0.0144 Cr
4.7899 0.0000 2.2917 Cr
3.6264 -2.0589 2.2833 Cr
8.5438 2.0589 2.2833 Cr
7.3803 0.0000 2.2917 Cr
4.0598 -3.5986 0.0144 Cr
6.0851 -2.1597 1.1889 Cr
9.9500 0.0000 1.1361 Cr
9.9710 0.0000 3.3862 Cr
8.5438 -2.0589 2.2833 Cr
6.0851 -4.8584 0.0000 Cr
8.1105 -3.5986 0.0144 Cr
0.0000 0.0000 2.2335 Co
4.9003 4.1210 2.2434 Co
4.0877 1.1931 0.0191 Co
7.2699 4.1210 2.2434 Co
6.0851 2.3111 3.4239 Co
4.0877 -1.1931 0.0191 Co
6.0851 0.0000 0.0736 Co
8.0825 1.1931 0.0191 Co
6.0851 -2.3111 3.4239 Co
4.9003 -4.1210 2.2434 Co
8.0825 -1.1931 0.0191 Co
7.2699 -4.1210 2.2434 Co
```

Which one is most stable, and which one is least stable? B is the most stable of them, while A is the least stable.

## A
Compound: Cr4Co
Source: Alexandria via LeMat-Bulk
Functional: GGA-PBE
Structure: relaxed

DOS(E_F) = 1.456 states/eV/atom
Total magnetization = 2.18 Bohr magnetons per cell
SG = No. 139

```
Cr4Co
1.0
-1.8261 1.8261 4.9578
1.8261 -1.8261 4.9578
1.8261 1.8261 -4.9578
Cr Co
4 1
Cartesian
0.0000 0.0000 1.1169 Cr
1.8261 0.0000 2.4789 Cr
0.0000 1.8261 2.4789 Cr
0.0000 0.0000 8.7987 Cr
0.0000 0.0000 4.9578 Co
```

## B
Compound: Cr4Co
Source: Alexandria via LeMat-Bulk
Functional: GGA-PBE
Structure: relaxed

DOS(E_F) = 1.672 states/eV/atom
Total magnetization = 4.76 Bohr magnetons per cell
SG = No. 221

```
Cr4Co
1.0
4.3866 0.0000 0.0000
0.0000 4.3866 0.0000
0.0000 0.0000 4.3866
Cr Co
4 1
Cartesian
0.0000 0.0000 0.0000 Cr
0.0000 2.1933 2.1933 Cr
2.1933 0.0000 2.1933 Cr
2.1933 2.1933 0.0000 Cr
2.1933 2.1933 2.1933 Co
```

Which one is most stable, and which one is least stable? A is the most stable of them, while B is the least stable.

## A
Compound: Cr2Co3
Source: Alexandria via LeMat-Bulk
Functional: GGA-PBE
Structure: relaxed

DOS(E_F) = 0.767 states/eV/atom
Total magnetization = 0.38 Bohr magnetons per cell
SG = No. 166

```
Cr2Co3
1.0
1.2434 0.7179 10.2136
-1.2434 0.7179 10.2136
0.0000 -1.4358 10.2136
Cr Co
2 3
Cartesian
0.0000 0.0000 3.0335 Cr
0.0000 0.0000 27.6073 Cr
0.0000 0.0000 9.1707 Co
0.0000 0.0000 15.3204 Co
0.0000 0.0000 21.4701 Co
```

## B
Compound: Cr2Co3
Source: Alexandria via LeMat-Bulk
Functional: GGA-PBE
Structure: relaxed

DOS(E_F) = 1.207 states/eV/atom
Total magnetization = 0.09 Bohr magnetons per cell
SG = No. 69

```
Cr2Co3
1.0
0.0000 3.4123 7.2283
2.3278 0.0000 7.2283
2.3278 3.4123 0.0000
Cr Co
4 6
Cartesian
3.6288 3.4123 7.2283 Cr
1.1639 1.7061 3.6142 Cr
3.4917 5.1184 10.8425 Cr
1.0268 3.4123 7.2283 Cr
2.3278 3.4123 2.3182 Co
2.3278 2.1270 5.7828 Co
2.3278 2.1270 8.6738 Co
2.3278 4.6976 5.7828 Co
2.3278 4.6976 8.6738 Co
2.3278 3.4123 12.1385 Co
```

Which one is most stable, and which one is least stable? A is the most stable of them, while B is the least stable.